1.
{
  "formula": "ZrBe2Pt",
  "functional": "PBE-GGA",
  "state": "optimized geometry",
  "e_form_kcal_per_mol_atoms": -0.702,
  "cell": [[-1.065, 1.205, 7.868], [1.512, -0.226, 7.884], [1.446, 2.685, 7.429]],
  "species": ["Be", "Be", "Pt", "Zr"],
  "fractional_positions": [[0.987, 0.987, 0.987], [0.513, 0.513, 0.513], [0.250, 0.250, 0.250], [0.750, 0.750, 0.750]]
}

2.
{
  "formula": "ZrFeRu2",
  "functional": "PBE-GGA",
  "state": "optimized geometry",
  "e_form_kcal_per_mol_atoms": 0.433,
  "cell": [[-0.425, -0.729, -2.760], [-1.009, -3.465, 1.071], [-5.392, 1.689, 0.384]],
  "species": ["Fe", "Zr", "Ru", "Ru"],
  "fractional_positions": [[0.500, 0.500, 0.776], [0.000, 0.000, 0.503], [0.000, 0.000, 0.002], [0.500, 0.500, 0.219]]
}

3.
{
  "formula": "PrSn2Ru",
  "functional": "PBE-GGA",
  "state": "optimized geometry",
  "e_form_kcal_per_mol_atoms": -9.849,
  "cell": [[4.524, 0.000, 0.000], [2.262, 3.918, 0.000], [2.262, 1.306, 5.408]],
  "species": ["Sn", "Pr", "Ru", "Sn"],
  "fractional_positions": [[0.780, 0.780, 0.661], [0.000, 0.000, 0.000], [0.500, 0.500, 0.500], [0.220, 0.220, 0.339]]
}

4.
{
  "formula": "AgGe6Se8",
  "functional": "PBE-GGA",
  "state": "optimized geometry",
  "e_form_raw_ev_per_atom": -0.055,
  "cell": [[7.633, -0.279, -0.288], [-0.517, 7.620, -0.288], [-0.517, -0.533, 7.607]],
  "species": ["Se", "Ge", "Ge", "Ag", "Se", "Ge", "Ge", "Se", "Se", "Se", "Se", "Ge", "Ge", "Se", "Se"],
  "fractional_positions": [[0.320, 0.602, 0.861], [0.382, 0.529, 0.168], [0.832, 0.618, 0.471], [0.000, 0.000, 0.000], [0.861, 0.320, 0.602], [0.471, 0.832, 0.618], [0.168, 0.382, 0.529], [0.398, 0.139, 0.680], [0.139, 0.680, 0.398], [0.680, 0.398, 0.139], [0.602, 0.861, 0.320], [0.529, 0.168, 0.382], [0.618, 0.471, 0.832], [0.214, 0.214, 0.214], [0.786, 0.786, 0.786]]
}

Respective Fermi-level density of states values: 1.6, 5.0, 3.0, 7.1 states/eV per cell.